AgPd2Br6 PBE-GGA relaxed; E_form (uncorrected) = -0.26 eV per atom; E = -2.846 eV per atom; V = 630.3 Å³ per cell; total moment = 0.000 μB/atom; DOS(E_F) = 10.01 states/eV per cell
1.0
6.2953 1.3445 2.0493
2.0904 10.3558 2.4541
1.3800 1.1134 10.7000
Pd Br Ag
4 12 2
direct
0.9739 0.6456 0.8076
0.5261 0.1924 0.3544
0.4739 0.8076 0.6456
0.0261 0.3544 0.1924
0.6430 0.8623 0.7758
0.7897 0.8505 0.4230
0.1430 0.7758 0.8623
0.6809 0.2532 0.4852
0.7103 0.5770 0.1495
0.3570 0.1377 0.2242
0.8191 0.5148 0.7468
0.2897 0.4230 0.8505
0.3191 0.7468 0.5148
0.2103 0.1495 0.5770
0.1809 0.4852 0.2532
0.8570 0.2242 0.1377
0.7500 0.6720 0.3280
0.2500 0.3280 0.6720

Pm5Pr2In4 PBE-GGA relaxed; E = -4.305 eV per atom; V = 332.6 Å³ per cell; ΔE_f = -281 meV/atom; total moment = 0.000 μB/atom; DOS(E_F) = 12.33 states/eV per cell
1.0
-2.0939 -0.8936 -2.6811
0.8424 -8.4965 2.1738
-8.4569 -0.2827 6.6988
Pr Pm In
2 5 4
direct
0.0000 0.0836 0.3614
0.0000 0.9164 0.6386
0.0000 0.1606 0.8572
0.0000 0.5000 0.0000
0.0000 0.8394 0.1428
0.0000 0.5414 0.6664
0.0000 0.4586 0.3336
0.5000 0.7480 0.4206
0.5000 0.2004 0.1155
0.5000 0.2520 0.5794
0.5000 0.7996 0.8845

Pm4In2Cl PBE-GGA relaxed; E_form (uncorrected) = -0.52 eV per atom; E = -4.276 eV per atom; V = 221.4 Å³ per cell; total moment = 0.000 μB/atom; DOS(E_F) = 4.63 states/eV per cell
1.0
5.1969 0.0000 0.0000
0.0000 5.1969 0.0000
-2.5985 -2.5985 8.1961
Pm Cl In
4 1 2
direct
0.8258 0.8258 0.6516
0.0000 0.5000 0.0000
0.1742 0.1742 0.3484
0.5000 0.0000 0.0000
0.0000 0.0000 0.0000
0.6302 0.6302 0.2604
0.3698 0.3698 0.7396

HfNb2C2 PBE-GGA relaxed; E = -10.342 eV per atom; V = 70.3 Å³ per cell; ΔE_f = -633 meV/atom; total moment = 0.000 μB/atom; DOS(E_F) = 1.95 states/eV per cell
1.0
-2.4416 1.2953 1.6765
-2.8498 -1.5193 -2.9764
2.1896 -4.0873 3.2302
Nb C Hf
2 2 1
direct
0.6847 0.6847 0.3693
0.3153 0.3153 0.6307
0.3353 0.8353 0.6706
0.6647 0.1647 0.3294
0.0000 0.0000 0.0000

CrCoAg2 PBE-GGA relaxed; E = -5.064 eV per atom; V = 61.4 Å³ per cell; ΔE_f = 544 meV/atom; total moment = 1.165 μB/atom; DOS(E_F) = 5.28 states/eV per cell
1.0
4.9411 -0.0324 0.0848
4.1527 2.6779 0.0848
0.8247 0.2399 4.6122
Co Ag Cr
1 2 1
direct
0.2500 0.2500 0.2500
0.9938 0.9938 0.0054
0.5062 0.5062 0.4946
0.7500 0.7500 0.7500

AlGaCu2Te4 PBE-GGA relaxed; E_form (uncorrected) = -0.30 eV per atom; E = -3.745 eV per atom; V = 225.0 Å³ per cell; total moment = 0.000 μB/atom; DOS(E_F) = 0.19 states/eV per cell
1.0
-2.4249 -5.5316 -0.6449
4.0375 -2.2301 3.9522
-4.6586 5.0362 2.9320
Ga Al Te Cu
1 1 4 2
direct
0.5001 0.5001 0.0002
0.0000 0.0000 0.9999
0.8836 0.3805 0.2641
0.3805 0.8836 0.2641
0.1166 0.1166 0.7360
0.6194 0.6194 0.7360
0.7501 0.2501 0.5001
0.2501 0.7501 0.5001

Sr2AlCu2SbO7 PBE-GGA relaxed; E_form (uncorrected) = -1.85 eV per atom; E = -6.012 eV per atom; V = 343.4 Å³ per cell; total moment = 0.000 μB/atom; DOS(E_F) = 2.85 states/eV per cell
1.0
2.6527 12.4224 -0.0042
-2.6527 12.4224 -0.0042
0.0000 1.1481 5.2101
O Cu Sr Sb Al
14 4 4 2 2
direct
0.7863 0.1099 0.2294
0.6701 0.6531 0.8295
0.3902 0.7136 0.6245
0.8932 0.6068 0.3832
0.1702 0.1531 0.3469
0.7435 0.3608 0.2707
0.8469 0.8298 0.6531
0.2434 0.8609 0.1239
0.3469 0.3299 0.1705
0.3932 0.1068 0.6168
0.2864 0.6098 0.3755
0.8901 0.2137 0.7706
0.6392 0.2565 0.7293
0.1391 0.7566 0.8761
0.0713 0.0409 0.4431
0.4589 0.4289 0.0564
0.9591 0.9287 0.5569
0.5711 0.5411 0.9436
0.6610 0.6224 0.3623
0.1609 0.1225 0.8536
0.3776 0.3390 0.6377
0.8775 0.8391 0.1464
0.7598 0.7401 0.7473
0.2599 0.2402 0.2527
0.5157 0.4843 0.5000
0.0149 0.9851 0.0000

TiAl2Ag2S6 PBE-GGA relaxed; E_form (uncorrected) = -0.79 eV per atom; E = -4.959 eV per atom; V = 210.3 Å³ per cell; total moment = 0.000 μB/atom; DOS(E_F) = 0.23 states/eV per cell
1.0
6.0732 0.0039 -0.0363
-2.9983 5.2815 -0.0363
-1.2026 -2.0672 6.5824
S Al Ag Ti
6 2 2 1
direct
0.7467 0.7467 0.7056
0.0826 0.4205 0.7077
0.9174 0.5795 0.2923
0.2533 0.2533 0.2944
0.4205 0.0826 0.7077
0.5795 0.9174 0.2923
0.6698 0.3302 0.5000
0.3302 0.6698 0.5000
0.1715 0.8285 0.0000
0.8285 0.1715 0.0000
0.0000 0.0000 0.5000

Ac4Al2Sn5 PBE-GGA relaxed; E = -4.606 eV per atom; V = 347.0 Å³ per cell; ΔE_f = -612 meV/atom; total moment = 0.000 μB/atom; DOS(E_F) = 3.73 states/eV per cell
1.0
4.8341 0.0000 0.0000
0.0000 7.8154 0.3082
0.0000 -0.3563 9.1694
Ac Sn Al
4 5 2
direct
0.5000 0.7531 0.6127
0.5000 0.7730 0.1338
0.5000 0.2469 0.3873
0.5000 0.2270 0.8662
0.0000 0.5636 0.3450
0.0000 0.1176 0.1288
0.0000 0.5000 0.0000
0.0000 0.8824 0.8712
0.0000 0.4364 0.6550
0.0000 0.9164 0.3779
0.0000 0.0836 0.6221

Ac2TbTmS4 PBE-GGA relaxed; E_form (uncorrected) = -1.98 eV per atom; E = -6.207 eV per atom; V = 194.4 Å³ per cell; total moment = 0.000 μB/atom; DOS(E_F) = 3.13 states/eV per cell
1.0
3.9829 0.0000 0.0000
0.0000 6.9318 0.1268
0.0000 -2.4238 6.9979
S Tm Ac Tb
4 1 2 1
direct
0.5000 0.7665 0.7860
0.5000 0.2335 0.2140
0.0000 0.2574 0.7834
0.0000 0.7426 0.2166
0.0000 0.0000 0.0000
0.5000 0.0000 0.5000
0.0000 0.5000 0.5000
0.5000 0.5000 0.0000

Zr2TlW PBE-GGA relaxed; E = -7.822 eV per atom; V = 83.2 Å³ per cell; ΔE_f = 282 meV/atom; total moment = 0.000 μB/atom; DOS(E_F) = 5.54 states/eV per cell
1.0
-2.8274 4.2175 -2.1761
-5.4244 -0.1141 1.0391
4.5711 -0.4641 3.0670
Zr W Tl
2 1 1
direct
0.0000 0.0000 0.0000
0.2500 0.7500 0.5000
0.7500 0.2500 0.5000
0.5000 0.5000 0.0000

RbBa2Pd2 PBE-GGA relaxed; E = -3.183 eV per atom; V = 227.4 Å³ per cell; ΔE_f = -143 meV/atom; total moment = 0.000 μB/atom; DOS(E_F) = 3.51 states/eV per cell
1.0
5.8762 0.0000 0.0000
0.0000 5.8762 0.0000
2.9381 2.9381 6.5859
Ba Rb Pd
2 1 2
direct
0.3251 0.3251 0.3498
0.6749 0.6749 0.6502
0.0000 0.0000 0.0000
0.2500 0.7500 0.5000
0.7500 0.2500 0.5000

PuZrPtRh PBE-GGA relaxed; E = -9.698 eV per atom; V = 78.7 Å³ per cell; ΔE_f = -630 meV/atom; total moment = 1.352 μB/atom; DOS(E_F) = 10.88 states/eV per cell
1.0
-2.6052 -4.0435 -0.0623
-0.3480 -2.6984 3.9672
-4.1613 -0.2174 2.4036
Pt Rh Zr Pu
1 1 1 1
direct
0.2500 0.2500 0.2500
0.7500 0.7500 0.7500
0.5000 0.5000 0.5000
0.0000 0.0000 0.0000

HfMn2Ag2 PBE-GGA relaxed; E = -6.290 eV per atom; V = 83.9 Å³ per cell; ΔE_f = 509 meV/atom; total moment = 0.060 μB/atom; DOS(E_F) = 4.49 states/eV per cell
1.0
-0.3581 -3.0752 -0.1305
2.7419 -0.3784 1.3933
-2.7494 -1.5986 8.4226
Ag Mn Hf
2 2 1
direct
0.6165 0.6165 0.7671
0.3836 0.3836 0.2329
0.7500 0.2500 0.5000
0.2500 0.7500 0.5000
0.0000 0.0000 0.0000

TlSnI4 PBE-GGA relaxed; E_form (uncorrected) = -0.43 eV per atom; E = -2.524 eV per atom; V = 515.5 Å³ per cell; total moment = 0.000 μB/atom; DOS(E_F) = 4.17 states/eV per cell
1.0
7.5949 0.0000 0.0000
0.0000 8.3543 0.5659
-3.7975 -2.6724 7.9434
I Tl Sn
8 2 2
direct
0.1080 0.6554 0.3551
0.7529 0.8446 0.6449
0.5023 0.4737 0.1752
0.3271 0.0263 0.8248
0.4977 0.5263 0.8248
0.6729 0.9737 0.1752
0.2471 0.1554 0.3551
0.8920 0.3446 0.6449
0.8180 0.2500 0.0000
0.1820 0.7500 0.0000
0.5000 0.5000 0.5000
0.0000 0.0000 0.5000

Mg2AlPd6 PBE-GGA relaxed; E = -4.623 eV per atom; V = 157.2 Å³ per cell; ΔE_f = -391 meV/atom; total moment = 0.000 μB/atom; DOS(E_F) = 2.28 states/eV per cell
1.0
4.2310 0.0000 -0.1400
0.0000 5.9852 0.0000
-1.8374 -2.9926 6.2686
Al Pd Mg
1 6 2
direct
0.0000 0.0000 0.0000
0.5000 0.2350 0.0000
0.5000 0.7650 0.0000
0.8433 0.0849 0.6764
0.1567 0.4085 0.3236
0.8433 0.5915 0.6764
0.1567 0.9151 0.3236
0.3405 0.3339 0.6678
0.6595 0.6661 0.3322

SrPd2PtO PBE-GGA relaxed; E_form (uncorrected) = -0.50 eV per atom; E = -5.111 eV per atom; V = 87.4 Å³ per cell; total moment = 0.000 μB/atom; DOS(E_F) = 2.00 states/eV per cell
1.0
-0.5938 -1.1280 -4.0644
-1.7819 -4.2361 1.4359
-3.9123 1.6813 0.1050
Pd Sr Pt O
2 1 1 1
direct
0.5000 0.0000 0.0000
0.0000 0.0000 0.5000
0.0000 0.5000 0.0000
0.5000 0.5000 0.5000
0.0000 0.0000 0.0000

Ce6SbBr8 PBE-GGA relaxed; E_form (uncorrected) = -1.42 eV per atom; E = -4.963 eV per atom; V = 495.0 Å³ per cell; total moment = 0.446 μB/atom; DOS(E_F) = 36.60 states/eV per cell
1.0
6.9262 0.0000 2.2753
3.0894 6.1990 2.2753
0.0429 0.0265 11.5492
Br Ce Sb
8 6 1
direct
0.2117 0.5662 0.3335
0.7883 0.4338 0.6665
0.8886 0.2117 0.3335
0.3334 0.3334 0.9999
0.5662 0.8886 0.3335
0.1114 0.7883 0.6665
0.6666 0.6666 0.0001
0.4338 0.1114 0.6665
0.5989 0.2917 0.1638
0.9456 0.5989 0.1638
0.7083 0.0544 0.8362
0.4011 0.7083 0.8362
0.0544 0.4011 0.8362
0.2917 0.9456 0.1638
0.0000 0.0000 0.0000

ZnIn2Ga12 PBE-GGA relaxed; E = -2.853 eV per atom; V = 612.9 Å³ per cell; ΔE_f = 18 meV/atom; total moment = 0.000 μB/atom; DOS(E_F) = 10.75 states/eV per cell
1.0
6.0205 0.0000 0.0000
0.0000 6.0205 0.0000
0.0000 0.0000 16.9103
Ga Zn In
24 2 4
direct
0.7505 0.2505 0.0930
0.1705 0.3295 0.4322
0.0000 0.0000 0.6579
0.5000 0.5000 0.1906
0.2505 0.2495 0.0930
0.2495 0.2505 0.9070
0.7495 0.2495 0.9070
0.1705 0.6705 0.5678
0.6705 0.1705 0.4322
0.7495 0.7505 0.0930
0.5000 0.5000 0.3421
0.0000 0.0000 0.3421
0.3295 0.8295 0.4322
0.0000 0.0000 0.8094
0.2505 0.7505 0.9070
0.0000 0.0000 0.1906
0.7505 0.7495 0.9070
0.3295 0.1705 0.5678
0.5000 0.5000 0.6579
0.8295 0.3295 0.5678
0.5000 0.5000 0.8094
0.6705 0.8295 0.5678
0.2495 0.7495 0.0930
0.8295 0.6705 0.4322
0.5000 0.0000 0.0000
0.0000 0.5000 0.0000
0.5000 0.0000 0.2644
0.0000 0.5000 0.7356
0.0000 0.5000 0.2644
0.5000 0.0000 0.7356

SrSnAs2S8 PBE-GGA relaxed; E_form (uncorrected) = -0.35 eV per atom; E = -4.353 eV per atom; V = 294.8 Å³ per cell; total moment = 0.000 μB/atom; DOS(E_F) = 0.04 states/eV per cell
1.0
6.1533 0.0000 0.0000
-3.0766 5.3289 0.0000
0.0000 0.0000 8.9916
As S Sr Sn
2 8 1 1
direct
0.6667 0.3333 0.2499
0.3333 0.6667 0.7501
0.3119 0.3264 0.3118
0.6667 0.3333 0.0132
0.3264 0.0145 0.6882
0.6881 0.6736 0.6882
0.9855 0.3119 0.6882
0.0145 0.6881 0.3118
0.3333 0.6667 0.9868
0.6736 0.9855 0.3118
0.0000 0.0000 0.0000
0.0000 0.0000 0.5000

Cs3LaU2Se9 PBE-GGA relaxed; E_form (uncorrected) = -1.28 eV per atom; E = -5.377 eV per atom; V = 522.2 Å³ per cell; total moment = 0.012 μB/atom; DOS(E_F) = 4.04 states/eV per cell
1.0
-2.0979 -1.8780 -7.3617
7.1499 -1.9541 2.6803
-3.5036 -8.4821 3.1623
Se Cs La U
9 3 1 2
direct
0.5000 0.5000 0.0000
0.8253 0.6507 0.6821
0.5000 0.0000 0.0000
0.6507 0.8253 0.3179
0.8253 0.1747 0.6821
0.0000 0.5000 0.0000
0.1747 0.3493 0.3179
0.3493 0.1747 0.6821
0.1747 0.8253 0.3179
0.3333 0.6667 0.6642
0.0000 0.0000 0.0000
0.6667 0.3333 0.3358
0.0000 0.0000 0.5000
0.3333 0.6667 0.1610
0.6667 0.3333 0.8390

CdFe2P PBE-GGA relaxed; E = -5.820 eV per atom; V = 58.0 Å³ per cell; ΔE_f = -8 meV/atom; total moment = 0.571 μB/atom; DOS(E_F) = 2.90 states/eV per cell
1.0
0.2221 -0.7627 7.0095
3.8608 -2.1168 5.5116
-1.0467 3.2648 -6.1652
P Cd Fe
1 1 2
direct
0.5446 0.5446 0.0000
0.3067 0.8067 0.5000
0.9872 0.9872 0.0000
0.6615 0.1615 0.5000